Below is a relaxed SrCr2Ru crystal, with properties calculated at the PBE level.

Output
energy of formation = 1004.9 meV per atom
space group = I4_1/amd
magnetic moment = 4.1 μB per formula unit
ΔE to the lowest computed polymorph = 462.4 meV/atom

```
16
Lattice="4.858 0.000 0.000 0.000 4.858 0.000 0.000 0.000 16.311" Properties=species:S:1:pos:R:3 pbc="T T T"
Sr 0.000 1.214 6.117
Sr 0.000 3.643 10.194
Sr 2.429 1.214 2.039
Sr 2.429 3.643 14.272
Cr 0.000 0.000 0.000
Cr 0.000 2.429 0.000
Cr 1.214 1.214 12.233
Cr 1.214 3.643 4.078
Cr 2.429 0.000 8.156
Cr 2.429 2.429 8.156
Cr 3.643 1.214 12.233
Cr 3.643 3.643 4.078
Ru 0.000 1.214 14.272
Ru 0.000 3.643 2.039
Ru 2.429 1.214 10.194
Ru 2.429 3.643 6.117
```

***

Below is a relaxed SrCrRu2 crystal, with properties calculated at the PBE level.

Output
energy of formation = 893.4 meV per atom
space group = F-43m
magnetic moment = 1.2 μB per formula unit
ΔE to the lowest computed polymorph = 533.0 meV/atom

```
16
Lattice="6.631 0.000 0.000 0.000 6.631 0.000 0.000 0.000 6.631" Properties=species:S:1:pos:R:3 pbc="T T T"
Sr 0.000 0.000 0.000
Sr 0.000 3.315 3.315
Sr 3.315 0.000 3.315
Sr 3.315 3.315 0.000
Cr 1.658 1.658 4.973
Cr 1.658 4.973 1.658
Cr 4.973 1.658 1.658
Cr 4.973 4.973 4.973
Ru 0.000 0.000 3.315
Ru 0.000 3.315 0.000
Ru 1.658 1.658 1.658
Ru 1.658 4.973 4.973
Ru 3.315 0.000 0.000
Ru 3.315 3.315 3.315
Ru 4.973 1.658 4.973
Ru 4.973 4.973 1.658
```

***

Below is a relaxed SrCrRu2 crystal, with properties calculated at the PBE level.

Output
energy of formation = 360.5 meV per atom
space group = R-3m
magnetic moment = 1.0 μB per formula unit
ΔE to the lowest computed polymorph = 0.0 meV/atom

```
12
Lattice="4.225 0.000 0.000 -2.112 3.659 0.000 0.000 0.000 17.000" Properties=species:S:1:pos:R:3 pbc="T T T"
Sr 0.000 0.000 0.000
Sr 0.000 2.439 11.333
Sr 2.112 1.220 5.666
Cr 0.000 0.000 8.500
Cr 0.000 2.439 2.833
Cr 2.112 1.220 14.166
Ru 0.000 0.000 3.262
Ru 0.000 0.000 13.737
Ru 0.000 2.439 8.071
Ru 0.000 2.439 14.595
Ru 2.112 1.220 2.404
Ru 2.112 1.220 8.929
```

***

Below is a relaxed SrCr2Ru crystal, with properties calculated at the PBE level.

Output
energy of formation = 1041.0 meV per atom
space group = P4/mmm
magnetic moment = 7.7 μB per formula unit
ΔE to the lowest computed polymorph = 498.4 meV/atom

```
4
Lattice="4.325 0.000 0.000 0.000 4.325 0.000 0.000 0.000 4.176" Properties=species:S:1:pos:R:3 pbc="T T T"
Sr 0.000 0.000 0.000
Cr 0.000 2.162 2.088
Cr 2.162 0.000 2.088
Ru 2.162 2.162 0.000
```